[1]
Nd3NiBr PBE optimized geometry; SG = Pmmn (59); raw formation energy = -488 meV per atom
1.0
3.805 0.000 0.000
0.000 9.894 0.000
0.000 0.000 8.066
Nd Ni Br
6 2 2
Direct
0.250 0.427 0.171
0.750 0.573 0.829
0.250 0.073 0.171
0.750 0.927 0.829
0.250 0.250 0.763
0.750 0.750 0.237
0.750 0.250 0.003
0.250 0.750 0.997
0.750 0.250 0.443
0.250 0.750 0.557



[2]
MnAlOsAu PBE optimized geometry; SG = F-43m (216); DFT formation energy = -47 meV per atom
1.0
4.383 0.000 0.000
2.191 3.795 0.000
2.191 1.265 3.578
Os Mn Au Al
1 1 1 1
Direct
0.250 0.250 0.250
0.000 0.000 0.000
0.750 0.750 0.750
0.500 0.500 0.500



Copy entry 1 word for word.
Nd3NiBr PBE optimized geometry; SG = Pmmn (59); raw formation energy = -488 meV per atom
1.0
3.805 0.000 0.000
0.000 9.894 0.000
0.000 0.000 8.066
Nd Ni Br
6 2 2
Direct
0.250 0.427 0.171
0.750 0.573 0.829
0.250 0.073 0.171
0.750 0.927 0.829
0.250 0.250 0.763
0.750 0.750 0.237
0.750 0.250 0.003
0.250 0.750 0.997
0.750 0.250 0.443
0.250 0.750 0.557